# La3NdOs

An optimized crystal structure of La3NdOs (PBE, Alexandria). Values from VASP.

```
&SYSTEM
  ibrav = 0, nat = 10, ntyp = 3
/
ATOMIC_SPECIES
La 138.91 La.upf
Nd 144.24 Nd.upf
Os 190.23 Os.upf
ATOMIC_POSITIONS angstrom
La 0.000 1.076 0.000
La 1.982 4.581 6.552
La 2.003 2.195 3.259
La 3.985 5.701 3.293
La 5.967 2.195 3.259
La 5.988 4.581 6.552
Nd 0.000 5.663 3.260
Nd 3.985 1.114 6.553
Os 0.000 3.341 1.594
Os 3.985 3.436 4.887
CELL_PARAMETERS angstrom
7.970 0.000 0.000
0.000 6.777 0.000
0.000 0.000 6.586
```

Summary:
Space group = Pmn2_1 (31)
E above lowest polymorph = 38 meV per atom
Calculated density = 7.01 g cm⁻³



# TbY6Th

An optimized crystal structure of TbY6Th (PBE, Alexandria). Values from VASP.

```
&SYSTEM
  ibrav = 0, nat = 8, ntyp = 3
/
ATOMIC_SPECIES
Tb 158.93 Tb.upf
Y 88.91 Y.upf
Th 232.04 Th.upf
ATOMIC_POSITIONS angstrom
Tb 0.000 0.000 0.000
Y 0.000 2.531 2.545
Y 0.000 2.531 7.531
Y 2.531 0.000 2.545
Y 2.531 0.000 7.531
Y 2.531 2.531 0.000
Y 2.531 2.531 5.038
Th 0.000 0.000 5.038
CELL_PARAMETERS angstrom
5.062 0.000 0.000
0.000 5.062 0.000
0.000 0.000 10.076
```

Summary:
Space group = P4/mmm (123)
E above lowest polymorph = 0 meV per atom
Calculated density = 5.95 g cm⁻³



# SmBe4Rh

An optimized crystal structure of SmBe4Rh (PBE, Alexandria). Values from VASP.

```
&SYSTEM
  ibrav = 0, nat = 6, ntyp = 3
/
ATOMIC_SPECIES
Sm 150.36 Sm.upf
Be 9.01 Be.upf
Rh 102.91 Rh.upf
ATOMIC_POSITIONS angstrom
Sm 0.000 0.000 0.000
Be 2.545 2.545 2.545
Be 4.160 4.160 2.545
Be 4.160 2.545 4.160
Be 2.545 4.160 4.160
Rh 5.029 5.029 5.029
CELL_PARAMETERS angstrom
0.000 3.353 3.353
3.353 0.000 3.353
3.353 3.353 0.000
```

Summary:
Space group = F-43m (216)
Calculated density = 6.37 g cm⁻³



Energy relative to the elements values (in eV per atom) by entry order: -0.046, 0.036, -0.239.